8
Lattice="2.9895 1.7260 9.7652 -2.9895 1.7260 9.7652 0.0000 -3.4520 9.7652" Properties=species:S:1:pos:R:3 comment="CsRb3Au4 (GGA-PBE, optimized geometry)" de_polymorph_ev_per_atom=0.0000 delta_e_f_ev_per_atom=-0.285 spacegroup=R-3m density_g_cm3=6.5 magnetic_moment_mub_per_fu=0.00 pbc="T T T"
Cs 0.0000 0.0000 0.0000
Rb 0.0000 0.0000 7.3016
Rb 0.0000 0.0000 14.6478
Rb 0.0000 0.0000 21.9940
Au 0.0000 0.0000 3.7138
Au 0.0000 0.0000 11.0529
Au 0.0000 0.0000 18.2428
Au 0.0000 0.0000 25.5819